1.
Material: RbAl2SbS6
Method: DFT, PBE-GGA
State: optimized geometry

```
RbAl2SbS6
1.0
6.835 -6.971 0.000
6.835 6.971 0.000
-3.125 0.000 6.718
Rb Al Sb S
2 4 2 12
Cartesian
4.491 5.979 5.038
6.054 -5.979 1.679
1.195 1.021 5.749
2.758 -1.021 2.390
7.787 1.021 4.328
9.350 -1.021 0.969
6.054 3.360 1.679
4.491 -3.360 5.038
4.130 4.721 2.139
2.001 0.627 3.646
3.040 2.221 6.306
7.978 4.721 1.220
3.563 -0.627 0.287
5.942 2.221 3.771
4.603 -2.221 2.947
6.982 0.627 6.431
2.567 -4.721 5.498
7.505 -2.221 0.412
8.545 -0.627 3.072
6.416 -4.721 4.579
```

Summary:
size of the total moment	0.00	μB per cell
formation energy without anion corrections	-644.8	meV per atom
E_tot	-4.3787	eV per atom
SG	C2/c, No. 15


2.
Material: Rb2AlSbS4
Method: DFT, PBE-GGA
State: optimized geometry

```
Rb2AlSbS4
1.0
-3.724 3.724 4.521
3.724 -3.724 4.521
3.724 3.724 -4.521
Rb Al Sb S
2 1 1 4
Cartesian
0.000 0.000 0.000
0.000 3.724 2.260
3.724 0.000 2.260
0.000 0.000 4.521
2.112 -1.147 3.396
2.578 1.613 1.125
1.613 4.871 -1.125
1.147 2.112 5.646
```

Summary:
size of the total moment	0.00	μB per cell
formation energy without anion corrections	-882.9	meV per atom
E_tot	-4.1717	eV per atom
SG	I-4, No. 82


3.
Material: Rb2ScAlS4
Method: DFT, PBE-GGA
State: optimized geometry

```
Rb2ScAlS4
1.0
-3.999 4.093 5.742
3.999 -4.093 5.742
3.999 4.093 -5.742
Rb Sc Al S
4 2 2 8
Cartesian
0.000 0.000 0.000
-1.999 2.046 2.871
0.000 4.093 0.000
1.999 2.046 2.871
3.999 0.000 0.000
0.000 0.000 5.742
1.999 2.046 -2.871
1.999 -2.046 2.871
3.999 -0.425 2.664
3.999 3.668 -2.664
2.305 2.046 -0.309
5.692 2.046 -0.309
-1.693 2.046 6.051
1.693 2.046 6.051
0.000 0.425 8.407
0.000 4.517 3.078
```

Summary:
size of the total moment	0.00	μB per cell
formation energy without anion corrections	-1235.4	meV per atom
E_tot	-4.8003	eV per atom
SG	Imma, No. 74


4.
Material: Rb2Sc2AlS6
Method: DFT, PBE-GGA
State: optimized geometry

```
Rb2Sc2AlS6
1.0
3.205 -5.514 0.000
3.205 5.514 0.000
-2.233 0.000 7.883
Rb Sc Al S
2 2 1 6
Cartesian
3.205 3.633 0.000
3.205 -3.633 0.000
2.088 1.844 3.941
2.088 -1.844 3.941
-1.117 0.000 3.941
-0.089 1.748 5.343
0.916 0.000 2.555
-0.089 -1.748 5.343
4.265 1.748 2.540
3.261 0.000 5.328
4.265 -1.748 2.540
```

Summary:
size of the total moment	0.00	μB per cell
formation energy without anion corrections	-1415.9	meV per atom
density of states at the Fermi level	7.94	states/eV per cell
E_tot	-5.3346	eV per atom
SG	C2/m, No. 12


5.
Material: Rb3Sc3AlS8
Method: DFT, PBE-GGA
State: optimized geometry

```
Rb3Sc3AlS8
1.0
3.735 2.156 7.853
-3.735 2.156 7.853
0.000 -4.313 7.853
Rb Sc Al S
3 3 1 8
Cartesian
-1.868 -1.078 7.853
-1.868 1.078 15.705
0.000 2.156 7.853
-3.735 0.000 11.779
-1.868 1.078 3.926
1.868 1.078 3.926
0.000 0.000 11.779
0.000 0.000 5.371
-1.793 -1.035 13.161
0.000 -2.070 10.397
-1.793 1.035 10.397
1.793 -1.035 13.161
0.000 2.070 13.161
1.793 1.035 10.397
0.000 0.000 18.187
```

Summary:
size of the total moment	0.00	μB per cell
formation energy without anion corrections	-1489.8	meV per atom
density of states at the Fermi level	8.67	states/eV per cell
E_tot	-5.4004	eV per atom
SG	R-3m, No. 166


6.
Material: RbScAlS4
Method: DFT, PBE-GGA
State: optimized geometry

```
RbScAlS4
1.0
6.612 0.000 0.000
0.000 5.646 0.000
-2.677 0.000 9.015
Rb Sc Al S
2 2 2 8
Cartesian
0.401 1.411 4.111
3.533 4.234 4.904
-0.890 1.411 8.494
4.824 4.234 0.521
1.174 4.234 1.432
2.760 1.411 7.583
-0.538 4.234 2.799
-2.106 4.234 8.321
1.056 2.904 7.305
1.056 5.565 7.305
2.878 0.081 1.711
2.878 2.742 1.711
6.040 1.411 0.695
4.472 1.411 6.216
```

Summary:
size of the total moment	0.00	μB per cell
formation energy without anion corrections	-1253.6	meV per atom
density of states at the Fermi level	3.72	states/eV per cell
E_tot	-5.1895	eV per atom
SG	P2_1/m, No. 11


7.
Material: RbAl2SiS6
Method: DFT, PBE-GGA
State: optimized geometry

```
RbAl2SiS6
1.0
6.183 -6.917 0.000
6.183 6.917 0.000
-3.425 0.000 6.667
Rb Al Si S
2 4 2 12
Cartesian
3.614 5.409 5.001
5.327 -5.409 1.667
0.894 1.140 6.199
2.607 -1.140 2.866
6.334 1.140 3.802
8.046 -1.140 0.468
5.327 4.088 1.667
3.614 -4.088 5.001
-0.954 1.378 4.927
0.759 -1.378 1.593
2.151 2.978 6.555
5.077 2.978 3.446
2.329 0.425 4.476
4.042 -0.425 1.142
4.899 0.425 5.525
6.611 -0.425 2.191
3.864 -2.978 3.222
6.790 -2.978 0.112
8.182 1.378 5.074
9.895 -1.378 1.741
```

Summary:
size of the total moment	2.02	μB per cell
formation energy without anion corrections	-796.5	meV per atom
density of states at the Fermi level	1.17	states/eV per cell
E_tot	-4.6606	eV per atom
SG	C2/c, No. 15


8.
Material: Rb2AlSiS4
Method: DFT, PBE-GGA
State: optimized geometry

```
Rb2AlSiS4
1.0
0.000 6.970 11.948
2.929 0.000 11.948
2.929 6.970 0.000
Rb Al Si S
4 2 2 8
Cartesian
2.197 5.227 1.251
3.661 8.712 7.225
2.197 5.227 16.670
3.661 8.712 22.644
0.732 1.742 2.987
5.125 12.197 20.908
2.197 5.227 8.961
3.661 8.712 14.935
2.179 2.993 4.191
3.679 6.478 10.165
2.214 7.462 4.191
2.214 2.993 13.731
3.643 10.947 10.165
3.643 6.478 19.705
2.179 7.462 13.731
3.679 10.947 19.705
```

Summary:
size of the total moment	0.00	μB per cell
formation energy without anion corrections	-951.6	meV per atom
density of states at the Fermi level	9.04	states/eV per cell
E_tot	-4.4029	eV per atom
SG	Fddd, No. 70


9.
Material: Rb4Sm3AlS8
Method: DFT, PBE-GGA
State: optimized geometry

```
Rb4Sm3AlS8
1.0
4.064 2.346 7.693
-4.064 2.346 7.693
0.000 -4.692 7.693
Rb Sm Al S
4 3 1 8
Cartesian
0.000 0.000 0.000
-2.032 -1.173 7.693
-2.032 1.173 15.385
0.000 2.346 7.693
-4.064 0.000 11.539
-2.032 1.173 3.846
2.032 1.173 3.846
0.000 0.000 11.539
0.000 0.000 5.373
-1.867 -1.078 12.966
0.000 -2.156 10.112
-1.867 1.078 10.112
1.867 -1.078 12.966
0.000 2.156 12.966
1.867 1.078 10.112
0.000 0.000 17.704
```

Summary:
size of the total moment	0.00	μB per cell
formation energy without anion corrections	-1595.4	meV per atom
E_tot	-5.0198	eV per atom
SG	R-3m, No. 166


10.
Material: Rb3Sm3AlS8
Method: DFT, PBE-GGA
State: optimized geometry

```
Rb3Sm3AlS8
1.0
6.979 -4.025 0.000
6.979 4.025 0.000
-4.659 0.000 7.867
Rb Sm Al S
3 3 1 8
Cartesian
0.000 0.000 0.000
3.489 2.013 0.000
3.489 -2.013 0.000
1.160 2.013 3.933
1.160 -2.013 3.933
4.649 0.000 3.933
-2.330 0.000 3.933
-0.238 0.000 5.335
3.602 2.215 5.336
5.697 2.215 2.531
2.324 0.000 2.386
6.975 0.000 5.480
3.602 -2.215 5.336
5.697 -2.215 2.531
9.537 0.000 2.532
```

Summary:
size of the total moment	0.00	μB per cell
formation energy without anion corrections	-1526.0	meV per atom
density of states at the Fermi level	14.17	states/eV per cell
E_tot	-5.1142	eV per atom
SG	C2/m, No. 12


11.
Material: Rb2AlSnS5
Method: DFT, PBE-GGA
State: optimized geometry

```
Rb2AlSnS5
1.0
1.800 -10.300 0.000
1.800 10.300 0.000
0.000 0.000 14.119
Rb Al Sn S
4 2 2 10
Cartesian
1.800 8.202 7.060
1.800 7.856 1.700
1.800 -7.856 8.760
1.800 -8.202 0.000
1.800 1.469 4.196
1.800 -1.469 11.255
1.800 5.592 12.184
1.800 -5.592 5.124
1.800 9.160 12.580
1.800 4.681 6.890
1.800 3.728 3.524
1.800 3.265 11.494
1.800 0.355 2.254
1.800 -0.355 9.313
1.800 -3.265 4.435
1.800 -3.728 10.584
1.800 -4.681 13.950
1.800 -9.160 5.521
```

Summary:
size of the total moment	0.62	μB per cell
formation energy without anion corrections	-807.6	meV per atom
density of states at the Fermi level	2.65	states/eV per cell
E_tot	-4.1762	eV per atom
SG	Cmc2_1, No. 36


12.
Material: Rb2AlSnS4
Method: DFT, PBE-GGA
State: optimized geometry

```
Rb2AlSnS4
1.0
0.000 7.174 11.520
3.197 0.000 11.520
3.197 7.174 0.000
Rb Al Sn S
4 2 2 8
Cartesian
2.398 5.380 1.275
3.996 8.967 7.034
2.398 5.380 16.005
3.996 8.967 21.764
0.799 1.793 2.880
5.595 12.554 20.159
2.398 5.380 8.640
3.996 8.967 14.399
2.155 3.144 4.113
4.239 6.731 9.873
2.640 7.616 4.113
2.640 3.144 13.166
3.754 11.203 9.873
3.754 6.731 18.926
2.155 7.616 13.166
4.239 11.203 18.926
```

Summary:
size of the total moment	1.53	μB per cell
formation energy without anion corrections	-943.8	meV per atom
density of states at the Fermi level	8.20	states/eV per cell
E_tot	-4.2176	eV per atom
SG	Fddd, No. 70